# 1
Entry from Alexandria via LeMat-Bulk: a relaxed structure of Li3Fe (PBE).

```
4
Lattice="5.1575 0.0263 0.0000 -2.3014 4.6156 0.0000 0.0000 0.0000 2.4668" Properties=species:S:1:pos:R:3 pbc="T T T"
Li 1.4280 2.3210 0.0000
Li 2.5787 0.0132 1.2334
Fe 0.0000 0.0000 0.0000
Li -1.1507 2.3078 1.2334
```

Properties
The density comes out at 2.163 g/cm3. Its density of states at the Fermi level is 4.01 states/eV/cell. The formation energy comes out at 0.291 eV/atom. Its space group is Cmmm (65).



# 2
Entry from Alexandria via LeMat-Bulk: a relaxed structure of SmMgAg2 (PBE).

```
4
Lattice="-1.7793 2.9690 0.4420 -1.2545 -1.2023 3.0260 5.6580 2.8717 3.4866" Properties=species:S:1:pos:R:3 pbc="T T T"
Sm 1.3121 2.3192 3.4773
Ag 4.4347 2.2508 2.7328
Mg -1.5169 0.8833 1.7340
Ag 1.2233 0.6209 0.7538
```

Properties
The density comes out at 7.354 g/cm3. Its density of states at the Fermi level is 2.55 states/eV/cell. The formation energy comes out at -0.237 eV/atom. Its space group is P4/mmm (123).



# 3
Entry from Alexandria via LeMat-Bulk: a relaxed structure of NdInHg (PBE).

```
3
Lattice="4.9808 0.0000 0.0000 2.4904 4.3135 0.0000 2.4904 1.4378 4.0668" Properties=species:S:1:pos:R:3 pbc="T T T"
Hg 2.4904 1.4378 1.0167
In 0.0000 0.0000 0.0000
Nd 4.9808 2.8756 2.0334
```

Properties
The density comes out at 8.736 g/cm3. Its density of states at the Fermi level is 0.73 states/eV/cell. The formation energy comes out at -0.453 eV/atom. Its space group is F-43m (216).



# 4
Entry from Alexandria via LeMat-Bulk: a relaxed structure of Cs3LiAg2F9 (PBE).

```
15
Lattice="6.2427 0.0000 0.0000 -3.1213 5.4063 0.0000 0.0000 0.0000 7.6561" Properties=species:S:1:pos:R:3 pbc="T T T"
Ag 3.1214 1.8021 6.3748
Cs 0.0000 3.6042 5.0084
F 1.5598 0.9005 5.1491
F -1.5616 4.5058 2.5069
F 4.6829 0.9005 5.1491
Li 0.0000 0.0000 3.8280
Cs 0.0000 0.0000 0.0000
F -1.5607 2.7032 0.0000
F 3.1213 3.6052 5.1491
F 3.1213 0.0000 0.0000
F 0.0000 1.8011 2.5069
F 1.5607 2.7032 0.0000
Cs 3.1214 1.8021 2.6477
F 1.5616 4.5058 2.5069
Ag 0.0000 3.6042 1.2813
```

Properties
The density comes out at 5.092 g/cm3. Its density of states at the Fermi level is 3.75 states/eV/cell. The value obtained for the total energy is -3.85 eV/atom. Its space group is P-3m1 (164).



# 5
Entry from Alexandria via LeMat-Bulk: a relaxed structure of TmZn11Cu (PBE).

```
13
Lattice="4.7842 0.0180 1.9932 2.3608 6.2324 0.9835 -0.0050 0.0090 6.7503" Properties=species:S:1:pos:R:3 pbc="T T T"
Zn 4.2236 4.8854 3.2064
Zn 3.2452 4.0328 5.7509
Zn 5.2459 4.8944 7.4911
Zn -0.0025 0.0045 3.3752
Zn 1.1804 3.1162 0.4918
Zn 2.3896 0.0135 4.3718
Zn 2.9165 1.3740 6.5206
Tm 0.0000 0.0000 0.0000
Zn 1.8942 1.3650 2.2360
Zn 3.8949 2.2266 3.9761
Zn 5.5608 2.2356 6.7157
Cu 3.5725 3.1252 1.4884
Zn 1.5792 4.0238 3.0114
```

Properties
The density comes out at 7.863 g/cm3. Its density of states at the Fermi level is 4.66 states/eV/cell. The formation energy comes out at -0.172 eV/atom. Its space group is C2/m (12).



# 6
Entry from Alexandria via LeMat-Bulk: a relaxed structure of LaVTc (PBE).

```
6
Lattice="4.2121 -0.0021 0.0006 2.1042 3.5730 -0.7197 2.1082 -1.9262 8.9143" Properties=species:S:1:pos:R:3 pbc="T T T"
V 4.2129 2.0426 4.0017
La 2.1058 0.4087 2.0357
La 6.3187 1.2360 6.1594
V 4.2116 -0.3979 4.1934
Tc 2.1047 2.4496 -0.1422
Tc 6.3197 -0.8049 8.3373
```

Properties
The density comes out at 7.448 g/cm3. Its density of states at the Fermi level is 6.77 states/eV/cell. The formation energy comes out at 0.447 eV/atom. Its space group is P-3m1 (164).



# 7
Entry from Alexandria via LeMat-Bulk: a relaxed structure of TcBr3F (PBE).

```
5
Lattice="4.9481 0.0000 0.0000 0.0000 4.9481 0.0000 0.0000 0.0000 4.9481" Properties=species:S:1:pos:R:3 pbc="T T T"
Br 0.0000 2.4740 0.0000
Br 0.0000 0.0000 2.4740
Tc 2.4740 2.4740 2.4740
F 0.0000 0.0000 0.0000
Br 2.4740 0.0000 0.0000
```

Properties
The density comes out at 4.889 g/cm3. Its density of states at the Fermi level is 3.42 states/eV/cell. Its space group is Pm-3m (221). For the energy above the lowest structure with this stoichiometry, the calculation gives 1.3422 eV/atom.



# 8
Entry from Alexandria via LeMat-Bulk: a relaxed structure of SrInGaPb (PBE).

```
4
Lattice="-4.1330 1.8653 3.1366 -4.8857 -2.5542 -0.0729 -1.6596 -2.9016 4.3847" Properties=species:S:1:pos:R:3 pbc="T T T"
Pb -2.6696 -0.8976 1.8621
Sr -8.0087 -2.6929 5.5863
In 0.0000 0.0000 0.0000
Ga -5.3391 -1.7953 3.7242
```

Properties
The density comes out at 6.716 g/cm3. Its density of states at the Fermi level is 1.44 states/eV/cell. The formation energy comes out at -0.225 eV/atom. Its space group is F-43m (216).